DFT (GGA-PBEsol) results for a relaxed structure of Y2Cd2Hg.

Properties
Theoretical density = 7.33 g cm⁻³
Calculated total energy = -3.153 eV per atom

Geometry as CIF:
```
data_Y2Cd2Hg
_chemical_formula_sum 'Y4 Cd4 Hg2'
_cell_length_a 4.555
_cell_length_b 4.555
_cell_length_c 13.181
_cell_angle_alpha 90.00
_cell_angle_beta 90.00
_cell_angle_gamma 90.00
_space_group_name_H-M_alt 'I 4/m m m'
_space_group_IT_number 139
_space_group_name_Hall '-I 4 2'
loop_
_atom_site_label
_atom_site_type_symbol
_atom_site_fract_x
_atom_site_fract_y
_atom_site_fract_z
Y1 Y 0.000 0.500 0.250
Cd1 Cd 0.000 0.000 0.098
Hg1 Hg 0.000 0.000 0.500
```